Record 1
VASP calculation (GGA-PBE) on a geometry-optimized CeURh2 structure.

Cell: 3.407 3.407 7.100 Å, 90.00 90.00 90.00°
Space group P4/mmm (No. 123)
One atom of each set of equivalent atoms:
Ce (0.000, 0.000, 0.000) [1 per cell]
U (0.000, 0.000, 0.500) [1 per cell]
Rh (0.500, 0.500, 0.280) [2 per cell]

Results
total DFT energy (no corrections) = -8.48 eV per atom
total magnetization = 2.777 μB/f.u.

***

Record 2
VASP calculation (GGA-PBE) on a geometry-optimized Y2HfPtW structure.

Cell: 5.250 5.250 4.955 Å, 90.00 90.00 90.00°
Space group P4/mmm (No. 123)
One atom of each set of equivalent atoms:
Y (0.000, 0.500, 0.000) [2 per cell]
Hf (0.000, 0.000, 0.500) [1 per cell]
Pt (0.500, 0.500, 0.000) [1 per cell]
W (0.500, 0.500, 0.500) [1 per cell]

Results
total DFT energy (no corrections) = -7.74 eV per atom
total magnetization = 0.003 μB/f.u.

***

Record 3
VASP calculation (GGA-PBE) on a geometry-optimized LaBeBr2 structure.

Cell: 14.649 3.744 4.445 Å, 90.00 105.48 90.00°
Space group Cm (No. 8)
One atom of each set of equivalent atoms:
La (0.000, 0.000, 0.000) [2 per cell]
Be (0.353, 0.000, 0.025) [2 per cell]
Br (0.087, 0.500, 0.571) [2 per cell]
Br (0.335, 0.500, 0.334) [2 per cell]

Results
total magnetization = 0.000 μB/f.u.
ΔE_f (raw) = -614 meV per atom